Record 1
# Dy2ZnAu PBE-GGA relaxed
data_Dy2ZnAu
_chemical_formula_sum 'Dy4 Zn2 Au2'
_symmetry_space_group_name_H-M 'P m m a'
_symmetry_Int_Tables_number 51
_cell_length_a 5.0640
_cell_length_b 3.5827
_cell_length_c 10.1441
_cell_angle_alpha 90.00
_cell_angle_beta 90.00
_cell_angle_gamma 90.00
loop_
_symmetry_equiv_pos_as_xyz
'x,y,z'
'-x,-y,-z'
'-x+1/2,-y,z'
'x+1/2,y,-z'
'x+1/2,-y,-z'
'-x+1/2,y,z'
'-x,y,-z'
'x,-y,z'
loop_
_atom_site_label
_atom_site_fract_x
_atom_site_fract_y
_atom_site_fract_z
Dy1 0.2500 0.0000 0.1248
Dy2 0.2500 0.0000 0.6246
Zn1 0.2500 0.5000 0.3825
Au1 0.2500 0.5000 0.8688
# formation enthalpy at 0 K	-610.9	meV/atom

Record 2
# NbHPdRu2 PBE-GGA relaxed
data_NbHPdRu2
_chemical_formula_sum 'Nb1 H1 Pd1 Ru2'
_symmetry_space_group_name_H-M 'P 4/m m m'
_symmetry_Int_Tables_number 123
_symmetry_space_group_name_Hall '-P 4 2'
_cell_length_a 4.0115
_cell_length_b 4.0115
_cell_length_c 3.8714
_cell_angle_alpha 90.00
_cell_angle_beta 90.00
_cell_angle_gamma 90.00
loop_
_atom_site_label
_atom_site_fract_x
_atom_site_fract_y
_atom_site_fract_z
Nb1 0.0000 0.0000 0.0000
H1 0.5000 0.5000 0.5000
Pd1 0.5000 0.5000 0.0000
Ru1 0.0000 0.5000 0.5000
# energy above the most stable polymorph in this dataset	0	meV/atom

Record 3
# KAcPt4 PBE-GGA relaxed
data_KAcPt4
_chemical_formula_sum 'K4 Ac4 Pt16'
_symmetry_space_group_name_H-M 'F -4 3 m'
_symmetry_Int_Tables_number 216
_symmetry_space_group_name_Hall 'F -4 2 3'
_cell_length_a 7.9092
_cell_length_b 7.9092
_cell_length_c 7.9092
_cell_angle_alpha 90.00
_cell_angle_beta 90.00
_cell_angle_gamma 90.00
loop_
_atom_site_label
_atom_site_fract_x
_atom_site_fract_y
_atom_site_fract_z
K1 0.0000 0.0000 0.0000
Ac1 0.2500 0.2500 0.2500
Pt1 0.1253 0.1253 0.6253
# formation enthalpy at 0 K	-722.7	meV/atom

Record 4
# AlGe3C PBE-GGA relaxed
data_AlGe3C
_chemical_formula_sum 'Al1 Ge3 C1'
_symmetry_space_group_name_H-M 'P m -3 m'
_symmetry_Int_Tables_number 221
_symmetry_space_group_name_Hall '-P 4 2 3'
_cell_length_a 4.3558
_cell_length_b 4.3558
_cell_length_c 4.3558
_cell_angle_alpha 90.00
_cell_angle_beta 90.00
_cell_angle_gamma 90.00
loop_
_atom_site_label
_atom_site_fract_x
_atom_site_fract_y
_atom_site_fract_z
Al1 0.0000 0.0000 0.0000
Ge1 0.0000 0.5000 0.5000
C1 0.5000 0.5000 0.5000
# formation enthalpy at 0 K	935.6	meV/atom
# energy above the most stable polymorph in this dataset	0	meV/atom

Record 5
# LaRe3Br PBE-GGA relaxed
data_LaRe3Br
_chemical_formula_sum 'La1 Re3 Br1'
_symmetry_space_group_name_H-M 'P m -3 m'
_symmetry_Int_Tables_number 221
_symmetry_space_group_name_Hall '-P 4 2 3'
_cell_length_a 4.9980
_cell_length_b 4.9980
_cell_length_c 4.9980
_cell_angle_alpha 90.00
_cell_angle_beta 90.00
_cell_angle_gamma 90.00
loop_
_atom_site_label
_atom_site_fract_x
_atom_site_fract_y
_atom_site_fract_z
La1 0.0000 0.0000 0.0000
Re1 0.0000 0.0000 0.5000
Br1 0.5000 0.5000 0.5000
# energy above the most stable polymorph in this dataset	1562	meV/atom
# formation energy (no corrections)	3.270	eV/atom

Record 6
# ZrCu2Te PBE-GGA relaxed
data_ZrCu2Te
_chemical_formula_sum 'Zr4 Cu8 Te4'
_symmetry_space_group_name_H-M 'I -4 2 d'
_symmetry_Int_Tables_number 122
_symmetry_space_group_name_Hall 'I -4 2bw'
_cell_length_a 7.4402
_cell_length_b 7.4402
_cell_length_c 5.5702
_cell_angle_alpha 90.00
_cell_angle_beta 90.00
_cell_angle_gamma 90.00
loop_
_atom_site_label
_atom_site_fract_x
_atom_site_fract_y
_atom_site_fract_z
Zr1 0.0000 0.0000 0.0000
Cu1 0.2348 0.7500 0.6250
Te1 0.0000 0.0000 0.5000
# formation energy (no corrections)	0.017	eV/atom

Record 7
# CdW2Se PBE-GGA relaxed
data_CdW2Se
_chemical_formula_sum 'Cd4 W8 Se4'
_symmetry_space_group_name_H-M 'I -4 2 d'
_symmetry_Int_Tables_number 122
_symmetry_space_group_name_Hall 'I -4 2bw'
_cell_length_a 3.8832
_cell_length_b 3.8832
_cell_length_c 19.9787
_cell_angle_alpha 90.00
_cell_angle_beta 90.00
_cell_angle_gamma 90.00
loop_
_atom_site_label
_atom_site_fract_x
_atom_site_fract_y
_atom_site_fract_z
Cd1 0.0000 0.0000 0.0000
W1 0.2456 0.2500 0.1250
Se1 0.0000 0.0000 0.5000
# energy above the most stable polymorph in this dataset	580	meV/atom
# formation energy (no corrections)	0.894	eV/atom

Record 8
# Rb2CrTc PBE-GGA relaxed
data_Rb2CrTc
_chemical_formula_sum 'Rb8 Cr4 Tc4'
_symmetry_space_group_name_H-M 'F m -3 m'
_symmetry_Int_Tables_number 225
_symmetry_space_group_name_Hall '-F 4 2 3'
_cell_length_a 8.6333
_cell_length_b 8.6333
_cell_length_c 8.6333
_cell_angle_alpha 90.00
_cell_angle_beta 90.00
_cell_angle_gamma 90.00
loop_
_atom_site_label
_atom_site_fract_x
_atom_site_fract_y
_atom_site_fract_z
Rb1 0.2500 0.2500 0.2500
Cr1 0.0000 0.0000 0.0000
Tc1 0.0000 0.0000 0.5000
# formation enthalpy at 0 K	1866.6	meV/atom
# energy above the most stable polymorph in this dataset	582	meV/atom

no.,electronic total energy (eV per atom)
1,-4.050
2,-7.618
3,-5.618
4,-4.428
5,-5.519
6,-4.954
7,-6.682
8,-3.615